No. 1
Compound: TaPCl2
Source: Alexandria via LeMat-Bulk
Functional: PBE
Structure: optimized geometry

Summary:
The uncorrected formation energy comes out at -0.265 eV per atom. The value obtained for the density of states at the Fermi level is 0.02 states/eV per atom.

a = 9.0675 Å, b = 9.0675 Å, c = 6.8396 Å
α = 48.48°, β = 48.48°, γ = 90.00°
Positions (direct):
Ta 0.7500 0.2500 0.5000
P 0.2500 0.7500 0.5000
Cl 0.7715 0.1250 0.2500
Ta 0.0000 0.0000 0.0000
P 0.5000 0.5000 0.0000
Cl 0.3750 0.2285 0.7500
Cl 0.8750 0.0215 0.7500
Cl 0.9785 0.6250 0.2500

---

No. 2
Compound: PmZn2CoSi
Source: Alexandria via LeMat-Bulk
Functional: PBE
Structure: optimized geometry

Summary:
The uncorrected formation energy comes out at -0.366 eV per atom. The value obtained for the density of states at the Fermi level is 0.80 states/eV per atom.

a = 4.0752 Å, b = 4.0767 Å, c = 5.9256 Å
α = 110.12°, β = 110.11°, γ = 90.00°
Positions (direct):
Si 0.8193 0.8193 0.6387
Zn 0.6912 0.1912 0.3824
Zn 0.0588 0.0588 0.1177
Pm 0.4359 0.4359 0.8718
Co 0.2069 0.7069 0.4137

---

No. 3
Compound: NaCaScI6
Source: Alexandria via LeMat-Bulk
Functional: PBE
Structure: optimized geometry

Summary:
The uncorrected formation energy comes out at -1.347 eV per atom. The value obtained for the density of states at the Fermi level is 0.00 states/eV per atom.

a = 7.7257 Å, b = 7.7257 Å, c = 14.2398 Å
α = 90.00°, β = 90.00°, γ = 120.00°
Positions (direct):
Sc 0.6667 0.3333 0.2500
I 0.6569 0.6344 0.1305
Na 0.0000 0.0000 0.5000
I 0.0224 0.6569 0.8695
I 0.6344 0.6569 0.6305
Na 0.0000 0.0000 0.0000
I 0.6344 0.9776 0.8695
I 0.3656 0.3431 0.3695
I 0.3431 0.9776 0.6305
I 0.3431 0.3656 0.8695
Ca 0.6667 0.3333 0.7500
I 0.0224 0.3656 0.6305
I 0.9776 0.3431 0.1305
Ca 0.3333 0.6667 0.2500
I 0.6569 0.0224 0.3695
I 0.3656 0.0224 0.1305
Sc 0.3333 0.6667 0.7500
I 0.9776 0.6344 0.3695

---

No. 4
Compound: PmMgRh2
Source: Alexandria via LeMat-Bulk
Functional: PBE
Structure: optimized geometry

Summary:
The value obtained for the energy of formation from the pure elements is -596 meV/atom. The value obtained for the density of states at the Fermi level is 0.72 states/eV per atom.

a = 4.7174 Å, b = 4.7174 Å, c = 4.7174 Å
α = 60.00°, β = 60.00°, γ = 60.00°
Positions (direct):
Pm 0.0000 0.0000 0.0000
Rh 0.2500 0.2500 0.2500
Rh 0.7500 0.7500 0.7500
Mg 0.5000 0.5000 0.5000

---

No. 5
Compound: Rb2MnSbBr6
Source: Alexandria via LeMat-Bulk
Functional: PBE
Structure: optimized geometry

Summary:
The uncorrected formation energy comes out at -0.998 eV per atom. The value obtained for the density of states at the Fermi level is 0.01 states/eV per atom.

a = 7.8370 Å, b = 7.8370 Å, c = 8.1235 Å
α = 61.16°, β = 61.16°, γ = 90.00°
Positions (direct):
Br 0.2538 0.2538 0.0000
Rb 0.2500 0.7500 0.5000
Br 0.2847 0.2847 0.4306
Br 0.7462 0.7462 0.0000
Br 0.7153 0.7153 0.5694
Br 0.7462 0.2538 0.0000
Sb 0.0000 0.0000 0.0000
Br 0.2538 0.7462 0.0000
Rb 0.7500 0.2500 0.5000
Mn 0.5000 0.5000 0.0000

---

No. 6
Compound: NiMo3Pd
Source: Alexandria via LeMat-Bulk
Functional: PBE
Structure: optimized geometry

Summary:
The value obtained for the energy of formation from the pure elements is 1284 meV/atom. The value obtained for the density of states at the Fermi level is 2.12 states/eV per atom.

a = 4.4499 Å, b = 4.4499 Å, c = 4.4499 Å
α = 90.00°, β = 90.00°, γ = 90.00°
Positions (direct):
Mo 0.5000 0.0000 0.0000
Mo 0.0000 0.5000 0.0000
Ni 0.0000 0.0000 0.0000
Mo 0.0000 0.0000 0.5000
Pd 0.5000 0.5000 0.5000

---

No. 7
Compound: CdNiBi2Pb
Source: Alexandria via LeMat-Bulk
Functional: PBE
Structure: optimized geometry

Summary:
The value obtained for the energy of formation from the pure elements is 169 meV/atom. The value obtained for the density of states at the Fermi level is 0.62 states/eV per atom.

a = 5.2552 Å, b = 5.2552 Å, c = 5.0183 Å
α = 90.00°, β = 90.00°, γ = 90.00°
Positions (direct):
Bi 0.0000 0.5000 0.0000
Pb 0.5000 0.5000 0.5000
Bi 0.5000 0.0000 0.0000
Ni 0.0000 0.0000 0.0000
Cd 0.0000 0.0000 0.5000